1.
Compound: Rb3ThSb2Te6
Source: the Alexandria database
Functional: GGA-PBE
Structure: optimized geometry

Geometry as POSCAR:
```
Rb3ThSb2Te6
1.0
8.165 -0.075 -0.004
-4.145 7.035 -0.004
-1.345 -2.328 8.382
Sb Te Rb Th
2 6 3 1
Direct
0.336 0.664 0.000
0.664 0.336 0.000
0.069 0.399 0.195
0.733 0.733 0.198
0.399 0.069 0.195
0.267 0.267 0.802
0.931 0.601 0.805
0.601 0.931 0.805
0.169 0.831 0.500
0.831 0.169 0.500
0.500 0.500 0.500
0.000 0.000 0.000
```

Values from the calculation:
- E_tot (eV/atom) = -3.848
- ΔE_f (raw) (eV per atom) = -0.730

***

2.
Compound: Tl2PdPb8
Source: the Alexandria database
Functional: GGA-PBE
Structure: optimized geometry

Geometry as POSCAR:
```
Tl2PdPb8
1.0
-0.110 0.586 4.924
-4.770 -1.358 0.055
3.642 -12.728 1.595
Pb Pd Tl
8 1 2
Direct
0.500 0.500 0.308
0.000 0.500 0.876
0.000 0.500 0.124
0.500 0.500 0.692
0.000 0.500 0.500
0.500 0.000 0.124
0.500 0.000 0.876
0.500 0.000 0.500
0.000 0.000 0.000
0.000 0.000 0.314
0.000 0.000 0.686
```

Values from the calculation:
- E_tot (eV/atom) = -3.630
- energy relative to the elements (eV/atom) = -0.03

***

3.
Compound: AcPrOsPd
Source: the Alexandria database
Functional: GGA-PBE
Structure: optimized geometry

Geometry as POSCAR:
```
AcPrOsPd
1.0
-2.763 -1.922 -3.938
-0.017 -5.101 -0.906
-4.265 -2.784 0.944
Pr Pd Ac Os
1 1 1 1
Direct
0.750 0.750 0.750
0.000 0.000 0.000
0.250 0.250 0.250
0.500 0.500 0.500
```

Values from the calculation:
- E_tot (eV/atom) = -6.558
- energy relative to the elements (eV/atom) = -0.23

***

4.
Compound: Ca8Hg2Pt
Source: the Alexandria database
Functional: GGA-PBE
Structure: optimized geometry

Geometry as POSCAR:
```
Ca8Hg2Pt
1.0
4.775 0.001 -1.451
-1.358 7.856 -4.462
0.151 -0.139 9.062
Ca Pt Hg
8 1 2
Direct
0.878 0.878 0.757
0.000 0.321 0.000
0.000 0.679 0.000
0.661 0.885 0.321
0.339 0.564 0.679
0.122 0.122 0.243
0.339 0.115 0.679
0.661 0.436 0.321
0.500 0.000 0.000
0.192 0.692 0.384
0.808 0.308 0.616
```

Values from the calculation:
- E_tot (eV/atom) = -2.365
- energy relative to the elements (eV/atom) = -0.31

***

What is the formula in the first record? Rb3ThSb2Te6

***

Please write out number 4 again, unchanged.
Compound: Ca8Hg2Pt
Source: the Alexandria database
Functional: GGA-PBE
Structure: optimized geometry

Geometry as POSCAR:
```
Ca8Hg2Pt
1.0
4.775 0.001 -1.451
-1.358 7.856 -4.462
0.151 -0.139 9.062
Ca Pt Hg
8 1 2
Direct
0.878 0.878 0.757
0.000 0.321 0.000
0.000 0.679 0.000
0.661 0.885 0.321
0.339 0.564 0.679
0.122 0.122 0.243
0.339 0.115 0.679
0.661 0.436 0.321
0.500 0.000 0.000
0.192 0.692 0.384
0.808 0.308 0.616
```

Values from the calculation:
- E_tot (eV/atom) = -2.365
- energy relative to the elements (eV/atom) = -0.31